No. 1
Material: K2AcPd9
Method: DFT, PBE
State: optimized geometry

Output
Calculated density ... 8705 kg/m3
Size of the total moment ... 0.00 μB/cell
DFT formation energy ... -0.2857 eV per atom
Uncorrected energy ... -169.4 eV for the cell shown

Cell lengths 5.5189, 5.5189, 27.3992 Å; angles 90.00, 90.00, 120.00 degrees
Space group R-3m (No. 166, hexagonal axes)
Unique sites:
K: 0.0000 0.0000 0.1451 [6 per cell]
Ac: 0.0000 0.0000 0.0000 [3 per cell]
Pd: 0.0000 0.0000 0.3327 [6 per cell]
Pd: 0.0000 0.0000 0.5000 [3 per cell]
Pd: 0.0005 0.5003 0.0816 [18 per cell]



No. 2
Material: KAcPdPt
Method: DFT, PBE
State: optimized geometry

Output
Calculated density ... 9091 kg/m3
Size of the total moment ... 0.00 μB/cell
DFT formation energy ... -0.4257 eV per atom
Uncorrected energy ... -72.6 eV for the cell shown

Cell lengths 7.4573, 7.4573, 7.4573 Å; angles 90.00, 90.00, 90.00 degrees
Space group F-43m (No. 216)
Unique sites:
K: 0.0000 0.0000 0.0000 [4 per cell]
Ac: 0.0000 0.0000 0.5000 [4 per cell]
Pd: 0.2500 0.2500 0.7500 [4 per cell]
Pt: 0.2500 0.2500 0.2500 [4 per cell]



No. 3
Material: KAcSb2Pd5
Method: DFT, PBE
State: optimized geometry

Output
Calculated density ... 8188 kg/m3
ΔE_f (raw) ... -591 meV/atom
Size of the total moment ... 0.00 μB/cell
Uncorrected energy ... -44.7 eV for the cell shown

Cell lengths 4.8664, 4.8664, 8.9210 Å; angles 90.00, 90.00, 90.00 degrees
Space group P4/mmm (No. 123)
Unique sites:
K: 0.0000 0.0000 0.0000 [1 per cell]
Ac: 0.0000 0.0000 0.5000 [1 per cell]
Sb: 0.5000 0.5000 0.1802 [2 per cell]
Pd: 0.0000 0.5000 0.2947 [4 per cell]
Pd: 0.5000 0.5000 0.5000 [1 per cell]



No. 4
Material: K3Ac2PmS6
Method: DFT, PBE
State: optimized geometry

Output
Calculated density ... 4145 kg/m3
ΔE_f (raw) ... -1876 meV/atom
Size of the total moment ... 0.00 μB/cell
Uncorrected energy ... -127.1 eV for the cell shown

Cell lengths 19.4237, 4.3446, 8.9570 Å; angles 90.00, 105.59, 90.00 degrees
Space group C2/m (No. 12)
Unique sites:
K: 0.0000 0.0000 0.0000 [2 per cell]
K: 0.1656 0.5000 0.3333 [4 per cell]
Ac: 0.1648 0.5000 0.8289 [4 per cell]
Pm: 0.0000 0.0000 0.5000 [2 per cell]
S: 0.0056 0.5000 0.7162 [4 per cell]
S: 0.1528 0.0000 0.5946 [4 per cell]
S: 0.1740 0.0000 0.0642 [4 per cell]